BaAg3Ge2: optimized geometry, PBE.

abc: 4.5252 9.0865 9.0947
angles: 55.44 75.59 75.58
Closest atoms and distances in Å follow each position.
Element x y z (fractional)
Ag  0.6288  0.5362  0.2061  3 Ge 2.57-2.73, 1 Ag 2.80
Ge  0.5001  0.1421  0.8578  1 Ge 2.40, 2 Ag 2.57
Ag  0.3708  0.7950  0.4633  3 Ge 2.57-2.73, 1 Ag 2.80
Ge  0.4999  0.8579  0.1422  1 Ge 2.40, 2 Ag 2.57
Ag  0.3712  0.4638  0.7939  3 Ge 2.57-2.73, 1 Ag 2.80
Ag  0.6292  0.2050  0.5367  3 Ge 2.57-2.73, 1 Ag 2.80
Ba  0.8410  0.1594  0.1586  6 Ge 3.51-3.55, 8 Ag 3.56-3.72
Ag  0.0000  0.3302  0.6697  4 Ge 2.77-2.96, 5 Ag 2.87-3.02
Ge  0.1673  0.3324  0.3331  6 Ag 2.73-2.96
Ag  0.0000  0.6698  0.3303  4 Ge 2.77-2.96, 5 Ag 2.87-3.02
Ba  0.1590  0.8406  0.8414  6 Ge 3.51-3.55, 8 Ag 3.56-3.72
Ge  0.8327  0.6676  0.6669  6 Ag 2.73-2.96

Properties
- uncorrected energy (eV for the cell shown) = -41.1
- energy of formation from the pure elements (eV/atom) = -0.137
- SG = C2/m (12)
- D(E_F) (states/eV/cell) = 5.55